## Cr3P3O13 (PBE with a Hubbard U)

Data for a geometry-optimized Cr3P3O13 structure.

extended XYZ file:
```
38
Lattice="7.440 0.000 0.000 0.000 6.256 0.000 -1.877 0.000 10.440" Properties=species:S:1:pos:R:3 pbc="T T T"
Cr 0.000 0.000 0.000
Cr 0.000 3.128 0.000
Cr 0.685 1.564 5.732
Cr 2.425 4.692 2.008
Cr 3.138 1.564 8.432
Cr 4.878 4.692 4.708
P 0.706 4.692 4.930
P 1.550 1.564 2.397
P 0.554 1.564 9.117
P 5.009 4.692 1.323
P 4.014 4.692 8.043
P 4.857 1.564 5.510
O -0.708 4.692 4.310
O 0.462 1.564 1.240
O 0.835 4.692 0.905
O -0.241 0.290 9.389
O -0.241 2.838 9.389
O 0.853 1.564 3.753
O 0.970 3.457 5.812
O 0.970 5.926 5.812
O 1.753 4.692 3.804
O 1.178 1.564 7.671
O 2.439 0.335 2.162
O 2.439 2.793 2.162
O 1.936 1.564 9.897
O 3.627 4.692 0.543
O 3.124 3.463 8.278
O 3.124 5.921 8.278
O 4.385 4.692 2.769
O 3.810 1.564 6.636
O 4.593 0.330 4.628
O 4.593 2.798 4.628
O 4.710 4.692 6.687
O 5.804 3.418 1.051
O 5.804 5.966 1.051
O 4.728 1.564 9.535
O 5.101 4.692 9.200
O 6.271 1.564 6.130
```

Total DFT energy (no corrections): -7.361 eV/atom